A PBEsol-optimized structure of La8Bi3Sb3, computed with meta-GGA SCAN.

a = 8.3517 Å, b = 8.3517 Å, c = 9.6414 Å
α = 125.24°, β = 125.24°, γ = 70.52°
Fractional positions:
La (0.0693, 0.5718, 0.8900)
La (0.0740, 0.0740, 0.3973)
La (0.2221, 0.4326, 0.2602)
La (0.4282, 0.9307, 0.1100)
La (0.5644, 0.2834, 0.7403)
La (0.5674, 0.7779, 0.7398)
La (0.7166, 0.4356, 0.2597)
La (0.9260, 0.9260, 0.6027)
Bi (0.3239, 0.1792, 0.8784)
Bi (0.8208, 0.6761, 0.1216)
Bi (0.9427, 0.0573, 0.0000)
Sb (0.1960, 0.5567, 0.6279)
Sb (0.4433, 0.8040, 0.3721)
Sb (0.6991, 0.3009, 0.5000)

The spin magnetization is 0.0 μB per formula unit. The uncorrected formation energy comes out at -16.4 eV per formula unit. Its crystal system is monoclinic.